# ScSiTe, optimized geometry, DFT PBE-GGA
# Magnetic moment ... 0.00 μB per cell
# Crystal system ... cubic
data_ScSiTe
_cell_length_a 6.756
_cell_length_b 6.756
_cell_length_c 6.756
_cell_angle_alpha 90.00
_cell_angle_beta 90.00
_cell_angle_gamma 90.00
_space_group_name_H-M_alt 'F -4 3 m'
_space_group_IT_number 216
_space_group_name_Hall 'F -4 2 3'
loop_
_atom_site_label
_atom_site_type_symbol
_atom_site_fract_x
_atom_site_fract_y
_atom_site_fract_z
Sc1 Sc 0.000 0.000 0.000
Si1 Si 0.250 0.250 0.250
Te1 Te 0.250 0.250 0.750

---

# KY2Zr2O7, optimized geometry, DFT PBE-GGA
# Magnetic moment ... 0.00 μB per cell
# Crystal system ... orthorhombic
data_KY2Zr2O7
_cell_length_a 4.313
_cell_length_b 18.604
_cell_length_c 4.531
_cell_angle_alpha 90.00
_cell_angle_beta 90.00
_cell_angle_gamma 90.00
_space_group_name_H-M_alt 'I m m 2'
_space_group_IT_number 44
loop_
_space_group_symop_operation_xyz
'x,y,z'
'-x,-y,z'
'-x,y,z'
'x,-y,z'
'x+1/2,y+1/2,z+1/2'
'-x+1/2,-y+1/2,z+1/2'
'-x+1/2,y+1/2,z+1/2'
'x+1/2,-y+1/2,z+1/2'
loop_
_atom_site_label
_atom_site_type_symbol
_atom_site_fract_x
_atom_site_fract_y
_atom_site_fract_z
K1 K 0.000 0.000 0.000
Y1 Y 0.000 0.262 0.501
Zr1 Zr 0.000 0.392 0.000
O1 O 0.000 0.129 0.501
O2 O 0.000 0.270 0.001
O3 O 0.000 0.383 0.502
O4 O 0.000 0.500 0.001

---

# SrPu3Te4, optimized geometry, DFT PBE-GGA
# Magnetic moment ... 17.81 μB per cell
# Crystal system ... orthorhombic
data_SrPu3Te4
_cell_length_a 4.506
_cell_length_b 6.389
_cell_length_c 9.066
_cell_angle_alpha 90.00
_cell_angle_beta 90.00
_cell_angle_gamma 90.00
_space_group_name_H-M_alt 'P m m m'
_space_group_IT_number 47
loop_
_space_group_symop_operation_xyz
'x,y,z'
'-x,-y,-z'
'-x,-y,z'
'x,y,-z'
'x,-y,-z'
'-x,y,z'
'-x,y,-z'
'x,-y,z'
loop_
_atom_site_label
_atom_site_type_symbol
_atom_site_fract_x
_atom_site_fract_y
_atom_site_fract_z
Sr1 Sr 0.000 0.000 0.000
Pu1 Pu 0.000 0.000 0.500
Pu2 Pu 0.500 0.500 0.252
Te1 Te 0.000 0.500 0.000
Te2 Te 0.000 0.500 0.500
Te3 Te 0.500 0.000 0.260

---

# PmTmTlGa, optimized geometry, DFT PBE-GGA
# Formation energy from the elements ... -0.4537 eV per atom
# Magnetic moment ... 0.00 μB per cell
# Crystal system ... tetragonal
data_PmTmTlGa
_cell_length_a 3.636
_cell_length_b 3.636
_cell_length_c 7.719
_cell_angle_alpha 90.00
_cell_angle_beta 90.00
_cell_angle_gamma 90.00
_space_group_name_H-M_alt 'P 4 m m'
_space_group_IT_number 99
loop_
_space_group_symop_operation_xyz
'x,y,z'
'-y,x,z'
'-x,-y,z'
'y,-x,z'
'-x,y,z'
'y,x,z'
'x,-y,z'
'-y,-x,z'
loop_
_atom_site_label
_atom_site_type_symbol
_atom_site_fract_x
_atom_site_fract_y
_atom_site_fract_z
Pm1 Pm 0.000 0.000 0.000
Tm1 Tm 0.000 0.000 0.537
Tl1 Tl 0.500 0.500 0.282
Ga1 Ga 0.500 0.500 0.756

---

# ZrN2, optimized geometry, DFT PBE-GGA
# Magnetic moment ... 0.00 μB per cell
# Crystal system ... orthorhombic
data_ZrN2
_cell_length_a 3.794
_cell_length_b 4.370
_cell_length_c 4.167
_cell_angle_alpha 90.00
_cell_angle_beta 90.00
_cell_angle_gamma 90.00
_space_group_name_H-M_alt 'P m m n'
_space_group_IT_number 59
loop_
_space_group_symop_operation_xyz
'x,y,z'
'-x,-y,-z'
'-x+1/2,-y+1/2,z'
'x+1/2,y+1/2,-z'
'x+1/2,-y,-z'
'-x+1/2,y,z'
'-x,y+1/2,-z'
'x,-y+1/2,z'
loop_
_atom_site_label
_atom_site_type_symbol
_atom_site_fract_x
_atom_site_fract_y
_atom_site_fract_z
Zr1 Zr 0.250 0.250 0.249
N1 N 0.250 0.750 0.149
N2 N 0.250 0.750 0.501

---

# BaPm2WN4, optimized geometry, DFT PBE-GGA
# Magnetic moment ... 0.00 μB per cell
# Crystal system ... orthorhombic
data_BaPm2WN4
_cell_length_a 3.580
_cell_length_b 12.774
_cell_length_c 12.387
_cell_angle_alpha 90.00
_cell_angle_beta 90.00
_cell_angle_gamma 90.00
_space_group_name_H-M_alt 'C m c m'
_space_group_IT_number 63
_space_group_name_Hall '-C 2c 2'
loop_
_atom_site_label
_atom_site_type_symbol
_atom_site_fract_x
_atom_site_fract_y
_atom_site_fract_z
Ba1 Ba 0.000 0.081 0.250
Pm1 Pm 0.000 0.371 0.037
W1 W 0.000 0.180 0.750
N1 N 0.000 0.000 0.000
N2 N 0.000 0.258 0.620
N3 N 0.000 0.394 0.250

---

| no. | raw total energy (eV per atom) |
| --- | --- |
| 1 | -5.06 |
| 2 | -8.46 |
| 3 | -8.37 |
| 4 | -4.11 |
| 5 | -9.14 |
| 6 | -8.19 |